# 1
VASP calculation (PBE-GGA) on a relaxed BaTbPtO4 crystal.

abc: 7.076 7.076 7.076
angles: 123.43 120.15 86.95
Fractional coordinates of all 14 atoms:
Ba 0.396 0.146 0.250
Ba 0.604 0.854 0.750
Tb 0.000 0.500 0.500
Tb 0.500 0.500 0.000
Pt 0.000 0.000 0.500
Pt 0.000 0.500 0.000
O 0.157 0.728 0.429
O 0.202 0.272 0.929
O 0.255 0.294 0.539
O 0.255 0.716 0.961
O 0.745 0.284 0.039
O 0.745 0.706 0.461
O 0.798 0.728 0.071
O 0.843 0.272 0.571

Output
As for the space-group type: No. 74. For the total energy, the calculation gives -0.244 hartree per atom. As for the raw formation energy: -1.994 eV/atom. Its theoretical density is 7.6 g cm⁻³.

***

# 2
VASP calculation (PBE-GGA) on a relaxed NaAgHg crystal.

abc: 4.435 5.363 6.439
angles: 107.31 90.25 113.88
Fractional coordinates of all 6 atoms:
Na 0.172 0.342 0.095
Na 0.828 0.658 0.905
Ag 0.160 0.322 0.571
Ag 0.840 0.678 0.429
Hg 0.489 0.980 0.736
Hg 0.511 0.020 0.264

Output
The calculation puts the density of states at the Fermi level at 0.271 states/eV per atom. As for the space-group type: No. 2. For the formation energy, the calculation gives -23.7 kJ/mol of formula units. For the total energy, the calculation gives -0.058 hartree per atom. Its theoretical density is 8.3 g cm⁻³.

***

# 3
VASP calculation (PBE-GGA) on a relaxed Ca3Ag2I8 crystal.

abc: 9.377 9.377 7.899
angles: 106.95 106.95 57.94
Fractional coordinates of all 13 atoms:
Ca 0.000 0.000 0.000
Ca 0.251 0.749 0.500
Ca 0.749 0.251 0.500
Ag 0.401 0.401 0.937
Ag 0.599 0.599 0.063
I 0.114 0.114 0.746
I 0.119 0.643 0.743
I 0.357 0.881 0.257
I 0.378 0.378 0.272
I 0.622 0.622 0.728
I 0.643 0.119 0.743
I 0.881 0.357 0.257
I 0.886 0.886 0.254

Output
The calculation puts the density of states at the Fermi level at 0.000 states/eV per atom. As for the space-group type: No. 12. For the total energy, the calculation gives -0.112 hartree per atom. As for the raw formation energy: -1.185 eV/atom. Its theoretical density is 4.0 g cm⁻³.

***

# 4
VASP calculation (PBE-GGA) on a relaxed CsLi2Tl crystal.

abc: 3.898 3.898 8.831
angles: 90.00 90.00 90.00
Fractional coordinates of all 4 atoms:
Cs 0.000 0.000 0.000
Li 0.500 0.500 0.347
Li 0.500 0.500 0.653
Tl 0.000 0.000 0.500

Output
The calculation puts the density of states at the Fermi level at 0.541 states/eV per atom. As for the space-group type: No. 123. For the formation energy, the calculation gives 10.9 kJ/mol of formula units. For the total energy, the calculation gives -0.064 hartree per atom. Its theoretical density is 4.3 g cm⁻³.

***

# 5
VASP calculation (PBE-GGA) on a relaxed NdZn12Ag4 crystal.

abc: 7.686 7.686 7.686
angles: 109.47 109.47 109.47
Fractional coordinates of all 17 atoms:
Nd 0.000 0.000 0.000
Zn 0.146 0.504 0.358
Zn 0.146 0.788 0.642
Zn 0.212 0.358 0.854
Zn 0.358 0.146 0.504
Zn 0.358 0.854 0.212
Zn 0.496 0.642 0.854
Zn 0.504 0.358 0.146
Zn 0.642 0.146 0.788
Zn 0.642 0.854 0.496
Zn 0.788 0.642 0.146
Zn 0.854 0.212 0.358
Zn 0.854 0.496 0.642
Ag 0.000 0.000 0.500
Ag 0.000 0.500 0.000
Ag 0.500 0.000 0.000
Ag 0.500 0.500 0.500

Output
The calculation puts the density of states at the Fermi level at 0.456 states/eV per atom. As for the space-group type: No. 204. For the formation energy, the calculation gives 290.3 kJ/mol of formula units. For the total energy, the calculation gives -0.062 hartree per atom. Its theoretical density is 6.5 g cm⁻³.

***

# 6
VASP calculation (PBE-GGA) on a relaxed KBe4Ag crystal.

abc: 4.885 4.885 4.885
angles: 60.00 60.00 60.00
Fractional coordinates of all 6 atoms:
K 0.000 0.000 0.000
Be 0.383 0.383 0.383
Be 0.383 0.383 0.850
Be 0.383 0.850 0.383
Be 0.850 0.383 0.383
Ag 0.750 0.750 0.750

Output
The calculation puts the density of states at the Fermi level at 0.174 states/eV per atom. As for the space-group type: No. 216. For the formation energy, the calculation gives 351.0 kJ/mol of formula units. For the total energy, the calculation gives -0.093 hartree per atom. Its theoretical density is 3.7 g cm⁻³.

***

# 7
VASP calculation (PBE-GGA) on a relaxed KErCd17 crystal.

abc: 7.756 7.756 7.756
angles: 82.25 82.25 82.25
Fractional coordinates of all 19 atoms:
K 0.000 0.000 0.000
Er 0.336 0.336 0.336
Cd 0.045 0.045 0.461
Cd 0.045 0.461 0.045
Cd 0.141 0.683 0.683
Cd 0.316 0.316 0.785
Cd 0.316 0.785 0.316
Cd 0.367 0.661 0.963
Cd 0.367 0.963 0.661
Cd 0.461 0.045 0.045
Cd 0.556 0.556 0.556
Cd 0.661 0.367 0.963
Cd 0.661 0.963 0.367
Cd 0.683 0.141 0.683
Cd 0.683 0.683 0.141
Cd 0.754 0.754 0.754
Cd 0.785 0.316 0.316
Cd 0.963 0.367 0.661
Cd 0.963 0.661 0.367

Output
The calculation puts the density of states at the Fermi level at 0.392 states/eV per atom. As for the space-group type: No. 160. For the formation energy, the calculation gives -123.0 kJ/mol of formula units. For the total energy, the calculation gives -0.044 hartree per atom. Its theoretical density is 7.7 g cm⁻³.

***

# 8
VASP calculation (PBE-GGA) on a relaxed CsZn2RuF8 crystal.

abc: 9.541 9.541 9.541
angles: 34.09 34.09 34.09
Fractional coordinates of all 12 atoms:
Cs 0.000 0.000 0.000
Zn 0.247 0.247 0.247
Zn 0.753 0.753 0.753
Ru 0.500 0.500 0.500
F 0.138 0.608 0.608
F 0.315 0.315 0.315
F 0.392 0.392 0.862
F 0.392 0.862 0.392
F 0.608 0.138 0.608
F 0.608 0.608 0.138
F 0.685 0.685 0.685
F 0.862 0.392 0.392

Output
The calculation puts the density of states at the Fermi level at 0.881 states/eV per atom. As for the space-group type: No. 166. For the total energy, the calculation gives -0.159 hartree per atom. As for the raw formation energy: -2.025 eV/atom. Its theoretical density is 3.5 g cm⁻³.

***

# 9
VASP calculation (PBE-GGA) on a relaxed KTiSb3 crystal.

abc: 5.612 5.612 5.612
angles: 90.00 90.00 90.00
Fractional coordinates of all 5 atoms:
K 0.000 0.000 0.000
Ti 0.500 0.500 0.500
Sb 0.000 0.000 0.500
Sb 0.000 0.500 0.000
Sb 0.500 0.000 0.000

Output
The calculation puts the density of states at the Fermi level at 2.343 states/eV per atom. As for the space-group type: No. 221. For the total energy, the calculation gives -0.099 hartree per atom. As for the raw formation energy: 1.587 eV/atom. Its theoretical density is 4.2 g cm⁻³.

***

# 10
VASP calculation (PBE-GGA) on a relaxed InAgBr2 crystal.

abc: 4.000 4.000 8.303
angles: 90.00 90.00 90.00
Fractional coordinates of all 4 atoms:
In 0.000 0.000 0.000
Ag 0.500 0.500 0.487
Br 0.000 0.000 0.415
Br 0.500 0.500 0.823

Output
As for the space-group type: No. 99. For the total energy, the calculation gives -0.098 hartree per atom. As for the raw formation energy: -0.430 eV/atom. Its theoretical density is 4.8 g cm⁻³.

***

# 11
VASP calculation (PBE-GGA) on a relaxed YSc2Ta crystal.

abc: 5.526 5.526 5.526
angles: 130.99 130.99 71.83
Fractional coordinates of all 4 atoms:
Y 0.000 0.000 0.000
Sc 0.250 0.750 0.500
Sc 0.750 0.250 0.500
Ta 0.500 0.500 0.000

Output
The calculation puts the density of states at the Fermi level at 1.127 states/eV per atom. As for the space-group type: No. 139. For the formation energy, the calculation gives 93.6 kJ/mol of formula units. For the total energy, the calculation gives -0.276 hartree per atom. Its theoretical density is 6.4 g cm⁻³.

***

# 12
VASP calculation (PBE-GGA) on a relaxed NaAl2CuBr crystal.

abc: 4.554 4.554 6.157
angles: 90.00 90.00 90.00
Fractional coordinates of all 5 atoms:
Na 0.000 0.000 0.000
Al 0.000 0.500 0.500
Al 0.500 0.000 0.500
Cu 0.000 0.000 0.500
Br 0.500 0.500 0.000

Output
The calculation puts the density of states at the Fermi level at 0.862 states/eV per atom. As for the space-group type: No. 123. For the total energy, the calculation gives -0.111 hartree per atom. As for the raw formation energy: -0.096 eV/atom. Its theoretical density is 2.9 g cm⁻³.

***

# 13
VASP calculation (PBE-GGA) on a relaxed ReTe2Ir crystal.

abc: 7.181 7.181 7.181
angles: 33.01 33.01 33.01
Fractional coordinates of all 4 atoms:
Re 0.000 0.000 0.000
Te 0.251 0.251 0.251
Te 0.441 0.441 0.441
Ir 0.705 0.705 0.705

Output
The calculation puts the density of states at the Fermi level at 0.601 states/eV per atom. As for the space-group type: No. 160. For the total energy, the calculation gives -0.245 hartree per atom. As for the raw formation energy: 0.221 eV/atom. Its theoretical density is 10.8 g cm⁻³.

***

# 14
VASP calculation (PBE-GGA) on a relaxed BaCd crystal.

abc: 8.547 8.547 8.547
angles: 34.88 34.88 34.88
Fractional coordinates of all 4 atoms:
Ba 0.088 0.088 0.088
Ba 0.912 0.912 0.912
Cd 0.333 0.333 0.333
Cd 0.667 0.667 0.667

Output
The calculation puts the density of states at the Fermi level at 0.669 states/eV per atom. As for the space-group type: No. 166. For the formation energy, the calculation gives -47.6 kJ/mol of formula units. For the total energy, the calculation gives -0.061 hartree per atom. Its theoretical density is 4.6 g cm⁻³.